P | The following is a DFT calculation (PBE) of TlTeMoN2 after structural relaxation.

Summary:
**V**: 110 Å³ per cell

a b c (Å): 4.154 4.154 6.349
angles (deg): 90.00 90.00 90.00
Fractional coordinates of all 5 atoms:
1 Tl 0.000 0.000 0.000
2 Te 0.000 0.000 0.500
3 Mo 0.500 0.500 0.500
4 N 0.000 0.500 0.000
5 N 0.500 0.000 0.000

Q | The following is a DFT calculation (PBE) of TlTeMoN2 after structural relaxation.

Summary:
**V**: 94 Å³ per cell

a b c (Å): 4.073 4.073 5.664
angles (deg): 90.00 90.00 90.00
Fractional coordinates of all 5 atoms:
1 Tl 0.000 0.000 0.000
2 Te 0.500 0.500 0.000
3 Mo 0.500 0.500 0.500
4 N 0.000 0.500 0.500
5 N 0.500 0.000 0.500

Which of them is most stable, and which least? Most stable: Q; least stable: P.

P | The following is a DFT calculation (PBE) of TiMo3N after structural relaxation.

Summary:
**V**: 93 Å³ per cell

a b c (Å): 4.528 4.528 4.528
angles (deg): 90.00 90.00 90.00
Fractional coordinates of all 5 atoms:
1 Ti 0.000 0.000 0.000
2 Mo 0.000 0.000 0.500
3 Mo 0.000 0.500 0.000
4 Mo 0.500 0.000 0.000
5 N 0.500 0.500 0.500

Q | The following is a DFT calculation (PBE) of TiMo3N after structural relaxation.

Summary:
**V**: 71 Å³ per cell

a b c (Å): 4.147 4.147 4.147
angles (deg): 90.00 90.00 90.00
Fractional coordinates of all 5 atoms:
1 Ti 0.000 0.000 0.000
2 Mo 0.000 0.500 0.500
3 Mo 0.500 0.000 0.500
4 Mo 0.500 0.500 0.000
5 N 0.500 0.500 0.500

Which of them is most stable, and which least? Most stable: Q; least stable: P.

P | The following is a DFT calculation (PBE) of Ti3MoN after structural relaxation.

Summary:
**V**: 103 Å³ per cell

a b c (Å): 4.686 4.686 4.686
angles (deg): 90.00 90.00 90.00
Fractional coordinates of all 5 atoms:
1 Ti 0.000 0.000 0.500
2 Ti 0.000 0.500 0.000
3 Ti 0.500 0.000 0.000
4 Mo 0.000 0.000 0.000
5 N 0.500 0.500 0.500

Q | The following is a DFT calculation (PBE) of Ti3MoN after structural relaxation.

Summary:
**V**: 71 Å³ per cell

a b c (Å): 4.131 4.131 4.131
angles (deg): 90.00 90.00 90.00
Fractional coordinates of all 5 atoms:
1 Ti 0.000 0.000 0.500
2 Ti 0.000 0.500 0.000
3 Ti 0.500 0.000 0.000
4 Mo 0.500 0.500 0.500
5 N 0.000 0.000 0.000

Which of them is most stable, and which least? Most stable: Q; least stable: P.

P | The following is a DFT calculation (PBE) of Tl2MoN after structural relaxation.

Summary:
**V**: 306 Å³ per cell

a b c (Å): 7.231 7.231 5.856
angles (deg): 90.00 90.00 90.00
Fractional coordinates of all 16 atoms:
1 Tl 0.191 0.250 0.125
2 Tl 0.250 0.691 0.375
3 Tl 0.250 0.809 0.875
4 Tl 0.309 0.250 0.625
5 Tl 0.691 0.750 0.625
6 Tl 0.750 0.191 0.875
7 Tl 0.750 0.309 0.375
8 Tl 0.809 0.750 0.125
9 Mo 0.000 0.000 0.500
10 Mo 0.000 0.500 0.750
11 Mo 0.500 0.000 0.250
12 Mo 0.500 0.500 0.000
13 N 0.000 0.000 0.000
14 N 0.000 0.500 0.250
15 N 0.500 0.000 0.750
16 N 0.500 0.500 0.500

Q | The following is a DFT calculation (PBE) of Tl2MoN after structural relaxation.

Summary:
**V**: 303 Å³ per cell

a b c (Å): 6.714 6.714 6.714
angles (deg): 90.00 90.00 90.00
Fractional coordinates of all 16 atoms:
1 Tl 0.250 0.250 0.250
2 Tl 0.250 0.250 0.750
3 Tl 0.250 0.750 0.250
4 Tl 0.250 0.750 0.750
5 Tl 0.750 0.250 0.250
6 Tl 0.750 0.250 0.750
7 Tl 0.750 0.750 0.250
8 Tl 0.750 0.750 0.750
9 Mo 0.000 0.000 0.000
10 Mo 0.000 0.500 0.500
11 Mo 0.500 0.000 0.500
12 Mo 0.500 0.500 0.000
13 N 0.000 0.000 0.500
14 N 0.000 0.500 0.000
15 N 0.500 0.000 0.000
16 N 0.500 0.500 0.500

Which of them is most stable, and which least? Most stable: P; least stable: Q.